DFT (PBE) results for a relaxed structure of La2RhI2.

Cell and atoms, written as CIF:
```
data_La2RhI2
_cell_length_a 11.966
_cell_length_b 11.966
_cell_length_c 11.966
_cell_angle_alpha 20.51
_cell_angle_beta 20.51
_cell_angle_gamma 20.51
_symmetry_space_group_name_H-M 'P 1'
_symmetry_Int_Tables_number 1
loop_
_symmetry_equiv_pos_as_xyz
'x,y,z'
loop_
_atom_site_label
_atom_site_type_symbol
_atom_site_fract_x
_atom_site_fract_y
_atom_site_fract_z
La1 La 0.120 0.120 0.120
La2 La 0.880 0.880 0.880
Rh1 Rh 0.500 0.500 0.500
I1 I 0.389 0.389 0.389
I2 I 0.611 0.611 0.611
```

Values from the calculation:
Magnetization: 0.4 μB per cell
Space-group type: No. 166
Calculated volume: 184 Å³ per cell
Uncorrected formation energy: -1.119 eV/atom
N(E_F): 3.66 states/eV/f.u.